Record 1
Li2AcPdF8 | PBE-GGA | optimized geometry

Computed properties:
SG   P-3m1 (164)
Formation energy from raw total energies   -2.62 eV/atom
DFT total energy   -0.182 hartree per atom
Size of the total moment   1.00 μB per cell

Unit cell a=5.5330 b=5.5330 c=7.1144 alpha=90.00 beta=90.00 gamma=120.00
Closest atoms and distances in Å follow each position.
Fractional coordinates of all 12 atoms:
F  0.1530  0.3059  0.7991  1 Li 1.79
F  0.6941  0.8470  0.7991  1 Li 1.79
F  0.8470  0.6941  0.2009  1 Li 1.79
F  0.8470  0.1530  0.2009  1 Li 1.79
F  0.1530  0.8470  0.7991  1 Li 1.79
F  0.6667  0.3333  0.5209  1 Li 1.80
F  0.3059  0.1530  0.2009  1 Li 1.79
F  0.3333  0.6667  0.4791  1 Li 1.80
Pd  0.0000  0.0000  0.0000  6 F 2.05
Ac  0.0000  0.0000  0.5000  6 F 2.58
Li  0.6667  0.3333  0.2681  4 F 1.79-1.80
Li  0.3333  0.6667  0.7319  4 F 1.79-1.80

---

Record 2
Li2AcPmF8 | PBE-GGA | optimized geometry

Computed properties:
SG   C2/m (12)
Formation energy from raw total energies   -3.65 eV/atom
DFT total energy   -0.219 hartree per atom
Size of the total moment   0.06 μB per cell

Unit cell a=4.7551 b=4.7551 c=8.2777 alpha=88.93 beta=88.93 gamma=73.41
Closest atoms and distances in Å follow each position.
Fractional coordinates of all 12 atoms:
F  0.3122  0.3122  0.5443  1 Li 1.91
F  0.7053  0.7053  0.0284  1 Li 1.87
F  0.7677  0.2113  0.2378  1 Li 1.82
F  0.7887  0.2323  0.7622  1 Li 1.82
F  0.2323  0.7887  0.7622  1 Li 1.82
F  0.6878  0.6878  0.4557  1 Li 1.91
F  0.2947  0.2947  0.9716  1 Li 1.87
F  0.2113  0.7677  0.2378  1 Li 1.82
Pm  0.0000  0.0000  0.0000  6 F 2.25-2.34
Li  0.6080  0.6080  0.2384  4 F 1.82-1.91
Li  0.3920  0.3920  0.7616  4 F 1.82-1.91
Ac  0.0000  0.0000  0.5000  6 F 2.42-2.51

---

Record 3
Li2AcPrF8 | PBE-GGA | optimized geometry

Computed properties:
SG   I-4 (82)
Formation energy from raw total energies   -3.75 eV/atom
DFT total energy   -0.222 hartree per atom
Size of the total moment   0.00 μB per cell

Unit cell a=5.4229 b=5.4229 c=7.0479 alpha=112.63 beta=112.63 gamma=90.00
Closest atoms and distances in Å follow each position.
Fractional coordinates of all 12 atoms:
Li  0.2500  0.7500  0.5000  4 F 1.94
Li  0.5000  0.5000  0.0000  4 F 1.94
F  0.0580  0.9758  0.6653  1 Li 1.94
F  0.6074  0.6895  0.6653  1 Li 1.94
F  0.3105  0.9420  0.3347  1 Li 1.94
F  0.4160  0.3000  0.1506  1 Li 1.94
F  0.7346  0.8506  0.1506  1 Li 1.94
F  0.1494  0.5840  0.8494  1 Li 1.94
F  0.0242  0.3926  0.3347  1 Li 1.94
F  0.7000  0.2654  0.8494  1 Li 1.94
Pr  0.0000  0.0000  0.0000  8 F 2.39-2.45
Ac  0.7500  0.2500  0.5000  8 F 2.49-2.55

---

Record 4
Li2AcPtF8 | PBE-GGA | optimized geometry

Computed properties:
SG   R-3 (148)
Formation energy from raw total energies   -2.64 eV/atom
DFT total energy   -0.186 hartree per atom
Size of the total moment   1.00 μB per cell

Unit cell a=4.9848 b=4.9848 c=7.5281 alpha=70.67 beta=70.67 gamma=60.00
Closest atoms and distances in Å follow each position.
Fractional coordinates of all 12 atoms:
F  0.3668  0.7124  0.8168  1 Li 1.85
F  0.1754  0.1754  0.4737  1 Li 1.86
F  0.1040  0.3668  0.8168  1 Li 1.85
F  0.8960  0.6332  0.1832  1 Li 1.85
F  0.6332  0.2876  0.1832  1 Li 1.85
F  0.8246  0.8246  0.5263  1 Li 1.86
F  0.2876  0.8960  0.1832  1 Li 1.85
F  0.7124  0.1040  0.8168  1 Li 1.85
Pt  0.0000  0.0000  0.0000  6 F 2.08
Li  0.2646  0.2646  0.2062  4 F 1.85-1.86
Li  0.7354  0.7354  0.7938  4 F 1.85-1.86
Ac  0.5000  0.5000  0.5000  12 F 2.68-2.88

---

Record 5
Li3Ac2PuF12 | PBE-GGA | optimized geometry

Computed properties:
SG   R-3m (166)
Formation energy from raw total energies   -3.51 eV/atom
DFT total energy   -0.233 hartree per atom
Size of the total moment   5.00 μB per cell

Unit cell a=7.1188 b=7.1188 c=7.1188 alpha=57.73 beta=57.73 gamma=57.73
Closest atoms and distances in Å follow each position.
Fractional coordinates of all 18 atoms:
F  0.8410  0.8410  0.4310  1 Li 2.31, 1 Ac 2.39, 1 Pu 2.43
F  0.2684  0.8376  0.2684  2 Li 2.00
F  0.1590  0.5690  0.1590  1 Li 2.31, 1 Ac 2.39, 1 Pu 2.43
F  0.7316  0.7316  0.1624  2 Li 2.00
F  0.8410  0.4310  0.8410  1 Li 2.31, 1 Ac 2.39, 1 Pu 2.43
F  0.1624  0.7316  0.7316  2 Li 2.00
F  0.8376  0.2684  0.2684  2 Li 2.00
F  0.4310  0.8410  0.8410  1 Li 2.31, 1 Ac 2.39, 1 Pu 2.43
F  0.5690  0.1590  0.1590  1 Li 2.31, 1 Ac 2.39, 1 Pu 2.43
F  0.7316  0.1624  0.7316  2 Li 2.00
F  0.1590  0.1590  0.5690  1 Li 2.31, 1 Ac 2.39, 1 Pu 2.43
F  0.2684  0.2684  0.8376  2 Li 2.00
Ac  0.6058  0.6058  0.6058  6 F 2.39-2.53
Ac  0.3942  0.3942  0.3942  6 F 2.39-2.53
Pu  0.0000  0.0000  0.0000  6 F 2.43
Li  0.5000  0.0000  0.0000  4 F 2.00
Li  0.0000  0.5000  0.0000  4 F 2.00
Li  0.0000  0.0000  0.5000  4 F 2.00

---

Record 6
Li2AcPuF8 | PBE-GGA | optimized geometry

Computed properties:
SG   I-4 (82)
Formation energy from raw total energies   -3.58 eV/atom
DFT total energy   -0.246 hartree per atom
Size of the total moment   5.00 μB per cell

Unit cell a=5.4209 b=5.4209 c=7.0322 alpha=112.67 beta=112.67 gamma=90.00
Closest atoms and distances in Å follow each position.
Fractional coordinates of all 12 atoms:
Pu  0.7500  0.2500  0.5000  8 F 2.38-2.44
F  0.0554  0.9921  0.6555  1 Li 1.95
F  0.3365  0.9446  0.3445  1 Li 1.95
F  0.0079  0.3999  0.3445  1 Li 1.95
F  0.4380  0.3140  0.1696  1 Li 1.95
F  0.6001  0.6635  0.6555  1 Li 1.95
F  0.7316  0.8556  0.1696  1 Li 1.95
F  0.1444  0.5620  0.8304  1 Li 1.95
F  0.6860  0.2684  0.8304  1 Li 1.95
Li  0.2500  0.7500  0.5000  4 F 1.95
Li  0.5000  0.5000  0.0000  4 F 1.95
Ac  0.0000  0.0000  0.0000  8 F 2.49-2.54

---

Record 7
Rb2LiAcF6 | PBE-GGA | optimized geometry

Computed properties:
SG   P2_1/c (14)
Formation energy from raw total energies   -3.27 eV/atom
DFT total energy   -0.191 hartree per atom
Size of the total moment   0.00 μB per cell

Unit cell a=6.4189 b=6.3622 c=9.0816 alpha=90.00 beta=90.56 gamma=90.00
Closest atoms and distances in Å follow each position.
Fractional coordinates of all 20 atoms:
F  0.7632  0.7893  0.5289  1 Li 2.17, 1 Ac 2.40
F  0.0540  0.4914  0.7622  1 Li 2.19, 1 Ac 2.40
F  0.2632  0.7107  0.0289  1 Li 2.17, 1 Ac 2.40
F  0.2368  0.2107  0.4711  1 Li 2.17, 1 Ac 2.40
F  0.4460  0.9914  0.7378  1 Li 2.19, 1 Ac 2.40
F  0.2092  0.2347  0.0277  1 Li 2.17, 1 Ac 2.41
F  0.7368  0.2893  0.9711  1 Li 2.17, 1 Ac 2.40
F  0.2908  0.7347  0.4723  1 Li 2.17, 1 Ac 2.41
F  0.7092  0.2653  0.5277  1 Li 2.17, 1 Ac 2.41
F  0.5540  0.0086  0.2622  1 Li 2.19, 1 Ac 2.40
F  0.7908  0.7653  0.9723  1 Li 2.17, 1 Ac 2.41
F  0.9460  0.5086  0.2378  1 Li 2.19, 1 Ac 2.40
Li  0.5000  0.0000  0.5000  6 F 2.17-2.19
Li  0.0000  0.5000  0.0000  6 F 2.17-2.19
Ac  0.5000  0.0000  0.0000  6 F 2.40-2.41
Ac  0.0000  0.5000  0.5000  6 F 2.40-2.41
Rb  0.9951  0.0181  0.7532  7 F 2.88-3.16
Rb  0.4951  0.4819  0.2532  7 F 2.88-3.16
Rb  0.0049  0.9819  0.2468  7 F 2.88-3.16
Rb  0.5049  0.5181  0.7468  7 F 2.88-3.16

---

Record 8
LiAcSbF | PBE-GGA | optimized geometry

Computed properties:
SG   P4/nmm (129)
Formation energy from raw total energies   -2.02 eV/atom
DFT total energy   -0.184 hartree per atom
Size of the total moment   0.00 μB per cell

Unit cell a=4.3984 b=4.3984 c=9.4923 alpha=90.00 beta=90.00 gamma=90.00
Closest atoms and distances in Å follow each position.
Fractional coordinates of all 8 atoms:
Li  0.5000  0.5000  0.5000  4 Sb 2.81, 4 Li 3.11
Li  0.0000  0.0000  0.5000  4 Sb 2.81, 4 Li 3.11
Ac  0.0000  0.5000  0.8345  4 F 2.70
Ac  0.5000  0.0000  0.1655  4 F 2.70
F  0.5000  0.5000  0.0000  4 Ac 2.70
F  0.0000  0.0000  0.0000  4 Ac 2.70
Sb  0.0000  0.5000  0.3152  4 Li 2.81
Sb  0.5000  0.0000  0.6848  4 Li 2.81

---

Question: Look up the DFT total energy of the fourth one.
Answer: -0.186 hartree per atom

---

Question: Number 8 is which compound?
Answer: LiAcSbF

---

Question: The lowest DFT total energy belongs to which entry?
Answer: Li2AcPuF8